Entry 1:
Material: TlAg2As
Method: DFT, PBE
State: relaxed

Summary:
ρ: 9.850 g cm⁻³
crystal system: tetragonal
ΔH_f (0 K): 204.9 meV/atom
E: -2.97 eV/atom

The structure in POSCAR format:
```
TlAg2As
1.0
4.4547 0.0000 0.0000
0.0000 4.4547 0.0000
0.0000 0.0000 4.2055
Tl Ag As
1 2 1
Cartesian
0.0000 0.0000 0.0000
0.0000 2.2273 2.1027
2.2273 0.0000 2.1027
2.2273 2.2273 0.0000
```



Entry 2:
Material: Tl2AgAs2
Method: DFT, PBE
State: relaxed

Summary:
ρ: 8.668 g cm⁻³
crystal system: tetragonal
E above lowest polymorph: 0.097 eV/atom
ΔH_f (0 K): 160.6 meV/atom
E: -3.22 eV/atom

The structure in POSCAR format:
```
Tl2AgAs2
1.0
-1.8955 1.8955 8.8841
1.8955 -1.8955 8.8841
1.8955 1.8955 -8.8841
Tl Ag As
2 1 2
Cartesian
0.0000 0.0000 1.7616
0.0000 0.0000 16.0066
0.0000 0.0000 8.8841
1.8955 0.0000 4.4420
0.0000 1.8955 4.4420
```



Entry 3:
Material: TlAg2As2
Method: DFT, PBE
State: relaxed

Summary:
ρ: 8.516 g cm⁻³
crystal system: tetragonal
E above lowest polymorph: 0.144 eV/atom
ΔH_f (0 K): 189.4 meV/atom
E: -3.28 eV/atom

The structure in POSCAR format:
```
TlAg2As2
1.0
-2.0408 2.0408 6.6712
2.0408 -2.0408 6.6712
2.0408 2.0408 -6.6712
Tl Ag As
1 2 2
Cartesian
0.0000 0.0000 0.0000
0.0000 0.0000 5.2754
0.0000 0.0000 8.0669
2.0408 0.0000 3.3356
0.0000 2.0408 3.3356
```



Entry 4:
Material: TlAg2As
Method: DFT, PBE
State: relaxed

Summary:
ρ: 9.615 g cm⁻³
crystal system: monoclinic
ΔH_f (0 K): 185.9 meV/atom
E: -2.99 eV/atom

The structure in POSCAR format:
```
TlAg2As
1.0
3.1007 0.0000 0.0000
0.0000 3.8871 0.0000
-0.0768 0.0000 7.0938
Tl Ag As
1 2 1
Cartesian
0.0000 0.0000 0.0000
1.5215 1.9435 2.0503
1.5024 1.9435 5.0435
-0.0384 0.0000 3.5469
```